# 1
Compound: BeSnMoW
Source: OQMD via LeMat-Bulk
Functional: PBE-GGA
Structure: relaxed

Cell: 4.453 4.453 4.453 Å, 60.00 60.00 60.00°
Fractional coordinates of all 4 atoms:
1 Be 0.750 0.750 0.750
2 Mo 0.500 0.500 0.500
3 W 0.000 0.000 0.000
4 Sn 0.250 0.250 0.250

Values from the calculation:
- symmetry = F-43m (216)
- DFT total energy (eV per atom) = -7.25
- V (Å³ per cell) = 62.4
- crystal system = cubic
- theoretical density (g/cm³) = 10.84
- magnetic moment (μB/f.u.) = 0.00



# 2
Compound: BeNbAs
Source: OQMD via LeMat-Bulk
Functional: PBE-GGA
Structure: relaxed

Cell: 4.211 4.211 4.211 Å, 60.00 60.00 60.00°
Fractional coordinates of all 3 atoms:
1 Nb 0.000 0.000 0.000
2 Be 0.750 0.750 0.750
3 As 0.250 0.250 0.250

Values from the calculation:
- symmetry = F-43m (216)
- DFT total energy (eV per atom) = -5.68
- V (Å³ per cell) = 52.8
- crystal system = cubic
- theoretical density (g/cm³) = 5.56
- magnetic moment (μB/f.u.) = 0.09



# 3
Compound: LaGd2Cd3Ag3
Source: OQMD via LeMat-Bulk
Functional: PBE-GGA
Structure: relaxed

Cell: 4.187 7.788 7.788 Å, 119.95 90.00 90.00°
Fractional coordinates of all 9 atoms:
1 Gd 0.500 0.413 0.000
2 Gd 0.500 0.000 0.413
3 Ag 0.500 0.004 0.004
4 Ag 0.000 0.668 0.327
5 Ag 0.000 0.327 0.668
6 Cd 0.000 0.249 0.249
7 Cd 0.000 0.749 0.002
8 Cd 0.000 0.002 0.749
9 La 0.500 0.588 0.588

Values from the calculation:
- symmetry = Amm2 (38)
- DFT total energy (eV per atom) = -3.16
- V (Å³ per cell) = 220.0
- crystal system = orthorhombic
- theoretical density (g/cm³) = 8.41
- magnetic moment (μB/f.u.) = 0.01
- formation energy from the elements (kJ per mole of atoms) = -33



# 4
Compound: YTm2Mg3Hg2Au
Source: OQMD via LeMat-Bulk
Functional: PBE-GGA
Structure: relaxed

Cell: 4.167 7.664 7.664 Å, 120.24 90.00 90.00°
Fractional coordinates of all 9 atoms:
1 Mg 0.000 0.000 0.757
2 Mg 0.000 0.243 0.243
3 Mg 0.000 0.757 0.000
4 Tm 0.500 0.404 0.000
5 Tm 0.500 0.000 0.404
6 Au 0.500 0.003 0.003
7 Hg 0.000 0.331 0.668
8 Hg 0.000 0.668 0.331
9 Y 0.500 0.594 0.594

Values from the calculation:
- symmetry = Amm2 (38)
- DFT total energy (eV per atom) = -3.16
- V (Å³ per cell) = 211.4
- crystal system = orthorhombic
- theoretical density (g/cm³) = 8.62
- magnetic moment (μB/f.u.) = 0.02



# 5
Compound: GaCuAu2
Source: OQMD via LeMat-Bulk
Functional: PBE-GGA
Structure: relaxed

Cell: 4.523 4.523 4.523 Å, 60.00 60.00 60.00°
Fractional coordinates of all 4 atoms:
1 Cu 0.250 0.250 0.250
2 Au 0.000 0.000 0.000
3 Au 0.750 0.750 0.750
4 Ga 0.500 0.500 0.500

Values from the calculation:
- symmetry = F-43m (216)
- DFT total energy (eV per atom) = -3.35
- V (Å³ per cell) = 65.4
- crystal system = cubic
- theoretical density (g/cm³) = 13.38



# 6
Compound: NaAgSbAu
Source: OQMD via LeMat-Bulk
Functional: PBE-GGA
Structure: relaxed

Cell: 4.909 4.909 4.909 Å, 60.00 60.00 60.00°
Fractional coordinates of all 4 atoms:
1 Ag 0.250 0.250 0.250
2 Au 0.750 0.750 0.750
3 Sb 0.000 0.000 0.000
4 Na 0.500 0.500 0.500

Values from the calculation:
- symmetry = F-43m (216)
- DFT total energy (eV per atom) = -3.05
- V (Å³ per cell) = 83.7
- crystal system = cubic
- theoretical density (g/cm³) = 8.92



# 7
Compound: TmPb2BrClO2
Source: OQMD via LeMat-Bulk
Functional: PBE-GGA
Structure: relaxed

Cell: 6.712 6.712 7.881 Å, 122.76 122.76 34.34°
Fractional coordinates of all 7 atoms:
1 Pb 0.190 0.190 0.765
2 Pb 0.810 0.810 0.237
3 O 0.812 0.812 0.935
4 O 0.187 0.187 0.065
5 Br 0.572 0.572 0.301
6 Cl 0.432 0.432 0.710
7 Tm 0.997 0.997 0.988

Values from the calculation:
- symmetry = Cm (8)
- DFT total energy (eV per atom) = -5.20
- V (Å³ per cell) = 165.1
- crystal system = monoclinic
- theoretical density (g/cm³) = 7.35
- magnetic moment (μB/f.u.) = 0.00



# 8
Compound: NdAg3N
Source: OQMD via LeMat-Bulk
Functional: PBE-GGA
Structure: relaxed

Cell: 4.586 4.586 4.586 Å, 90.00 90.00 90.00°
Fractional coordinates of all 5 atoms:
1 Nd 0.500 0.500 0.500
2 Ag 0.500 0.000 0.000
3 Ag 0.000 0.000 0.500
4 Ag 0.000 0.500 0.000
5 N 0.000 0.000 0.000

Values from the calculation:
- symmetry = Pm-3m (221)
- DFT total energy (eV per atom) = -3.85
- V (Å³ per cell) = 96.5
- crystal system = cubic
- theoretical density (g/cm³) = 8.29
- magnetic moment (μB/f.u.) = 0.06



# 9
Compound: Cu5Ag4
Source: OQMD via LeMat-Bulk
Functional: PBE-GGA
Structure: relaxed

Cell: 16.741 16.741 16.741 Å, 170.42 170.42 13.56°
Fractional coordinates of all 9 atoms:
1 Cu 0.894 0.894 0.000
2 Cu 0.987 0.987 0.000
3 Cu 0.233 0.233 0.000
4 Cu 0.441 0.441 0.000
5 Cu 0.779 0.779 0.000
6 Ag 0.337 0.337 0.000
7 Ag 0.544 0.544 0.000
8 Ag 0.110 0.110 0.000
9 Ag 0.676 0.676 0.000

Values from the calculation:
- symmetry = I4mm (107)
- DFT total energy (eV per atom) = -3.26
- V (Å³ per cell) = 129.9
- crystal system = tetragonal
- theoretical density (g/cm³) = 9.58
- formation energy from the elements (kJ per mole of atoms) = 6



# 10
Compound: Cu5Ag4
Source: OQMD via LeMat-Bulk
Functional: PBE-GGA
Structure: relaxed

Cell: 7.125 7.125 6.717 Å, 92.72 92.72 22.69°
Fractional coordinates of all 9 atoms:
1 Ag 0.055 0.055 0.333
2 Ag 0.837 0.837 0.006
3 Ag 0.163 0.163 0.994
4 Ag 0.945 0.945 0.667
5 Cu 0.618 0.618 0.660
6 Cu 0.382 0.382 0.340
7 Cu 0.500 0.500 0.000
8 Cu 0.272 0.272 0.654
9 Cu 0.728 0.728 0.346

Values from the calculation:
- symmetry = C2/m (12)
- DFT total energy (eV per atom) = -3.22
- V (Å³ per cell) = 131.4
- crystal system = monoclinic
- theoretical density (g/cm³) = 9.47
- formation energy from the elements (kJ per mole of atoms) = 9



# 11
Compound: Y3MgIn2Cu2Ag
Source: OQMD via LeMat-Bulk
Functional: PBE-GGA
Structure: relaxed

Cell: 4.011 7.621 7.621 Å, 120.41 90.00 90.00°
Fractional coordinates of all 9 atoms:
1 Y 0.000 0.412 0.412
2 Y 0.000 0.587 0.002
3 Y 0.000 0.002 0.587
4 In 0.500 0.997 0.262
5 In 0.500 0.262 0.997
6 Cu 0.500 0.666 0.338
7 Cu 0.500 0.338 0.666
8 Mg 0.500 0.743 0.743
9 Ag 0.000 0.992 0.992

Values from the calculation:
- symmetry = Amm2 (38)
- DFT total energy (eV per atom) = -4.44
- V (Å³ per cell) = 200.9
- crystal system = orthorhombic
- theoretical density (g/cm³) = 6.25
- magnetic moment (μB/f.u.) = 0.02



# 12
Compound: LaSiPd
Source: OQMD via LeMat-Bulk
Functional: PBE-GGA
Structure: relaxed

Cell: 4.664 4.664 4.664 Å, 60.00 60.00 60.00°
Fractional coordinates of all 3 atoms:
1 Si 0.000 0.000 0.000
2 Pd 0.750 0.750 0.750
3 La 0.250 0.250 0.250

Values from the calculation:
- symmetry = F-43m (216)
- DFT total energy (eV per atom) = -5.61
- V (Å³ per cell) = 71.7
- crystal system = cubic
- theoretical density (g/cm³) = 6.33
- magnetic moment (μB/f.u.) = 0.18



# 13
Compound: PrCo2BP
Source: OQMD via LeMat-Bulk
Functional: PBE-GGA
Structure: relaxed

Cell: 5.883 5.883 5.883 Å, 143.61 143.61 52.41°
Fractional coordinates of all 5 atoms:
1 Pr 0.999 0.999 0.000
2 Co 0.260 0.760 0.500
3 Co 0.760 0.260 0.500
4 B 0.338 0.338 0.000
5 P 0.644 0.644 0.000

Values from the calculation:
- symmetry = I4mm (107)
- DFT total energy (eV per atom) = -6.93
- V (Å³ per cell) = 71.3
- crystal system = tetragonal
- theoretical density (g/cm³) = 7.00
- magnetic moment (μB/f.u.) = 0.01



# 14
Compound: PmPrZr
Source: OQMD via LeMat-Bulk
Functional: PBE-GGA
Structure: relaxed

Cell: 5.246 5.246 5.246 Å, 60.00 60.00 60.00°
Fractional coordinates of all 3 atoms:
1 Pr 0.250 0.250 0.250
2 Zr 0.750 0.750 0.750
3 Pm 0.000 0.000 0.000

Values from the calculation:
- symmetry = F-43m (216)
- DFT total energy (eV per atom) = -5.09
- V (Å³ per cell) = 102.1
- crystal system = cubic
- theoretical density (g/cm³) = 6.13
- magnetic moment (μB/f.u.) = 1.93
- formation energy from the elements (kJ per mole of atoms) = 90



# 15
Compound: ReW4
Source: OQMD via LeMat-Bulk
Functional: PBE-GGA
Structure: relaxed

Cell: 9.727 9.727 5.129 Å, 90.00 90.00 90.00°
Fractional coordinates of all 30 atoms:
1 W 0.037 0.634 0.500
2 W 0.816 0.816 0.251
3 W 0.963 0.366 0.500
4 W 0.684 0.316 0.249
5 W 0.435 0.240 0.500
6 W 0.866 0.537 0.000
7 W 0.260 0.935 0.000
8 W 0.134 0.463 0.000
9 W 0.184 0.184 0.251
10 W 0.684 0.316 0.751
11 W 0.816 0.816 0.749
12 W 0.065 0.740 0.000
13 W 0.935 0.260 0.000
14 W 0.634 0.037 0.500
15 W 0.366 0.963 0.500
16 W 0.760 0.565 0.500
17 W 0.316 0.684 0.249
18 W 0.565 0.760 0.500
19 W 0.537 0.866 0.000
20 W 0.740 0.065 0.000
21 W 0.240 0.435 0.500
22 W 0.316 0.684 0.751
23 W 0.463 0.134 0.000
24 W 0.184 0.184 0.749
25 Re 0.902 0.098 0.500
26 Re 0.598 0.598 0.000
27 Re 0.000 0.000 0.000
28 Re 0.098 0.902 0.500
29 Re 0.500 0.500 0.500
30 Re 0.402 0.402 0.000

Values from the calculation:
- symmetry = P4_2/mnm (136)
- DFT total energy (eV per atom) = -12.68
- V (Å³ per cell) = 485.4
- crystal system = tetragonal
- theoretical density (g/cm³) = 18.92
- magnetic moment (μB/f.u.) = 0.00
- formation energy from the elements (kJ per mole of atoms) = 16



# 16
Compound: CuS6F2
Source: OQMD via LeMat-Bulk
Functional: PBE-GGA
Structure: relaxed

Cell: 3.946 6.702 6.949 Å, 71.77 79.86 83.16°
Fractional coordinates of all 9 atoms:
1 F 0.641 0.104 0.165
2 F 0.359 0.896 0.835
3 S 0.815 0.774 0.524
4 S 0.990 0.456 0.241
5 S 0.185 0.226 0.476
6 S 0.164 0.724 0.276
7 S 0.836 0.276 0.724
8 S 0.010 0.544 0.759
9 Cu 0.000 0.000 0.000

Values from the calculation:
- symmetry = P-1 (2)
- DFT total energy (eV per atom) = -3.95
- V (Å³ per cell) = 171.4
- crystal system = triclinic
- theoretical density (g/cm³) = 2.85



# 17
Compound: CdAs2O6
Source: OQMD via LeMat-Bulk
Functional: PBE-GGA
Structure: relaxed

Cell: 4.973 4.973 6.852 Å, 115.02 115.02 43.09°
Fractional coordinates of all 9 atoms:
1 O 0.008 0.008 0.675
2 O 0.698 0.698 0.556
3 O 0.992 0.992 0.325
4 O 0.327 0.327 0.873
5 O 0.673 0.673 0.127
6 O 0.302 0.302 0.444
7 As 0.826 0.826 0.391
8 As 0.174 0.174 0.609
9 Cd 0.000 0.000 0.000

Values from the calculation:
- symmetry = C2/m (12)
- DFT total energy (eV per atom) = -5.52
- V (Å³ per cell) = 103.1
- crystal system = monoclinic
- theoretical density (g/cm³) = 5.77



# 18
Compound: LiThF5
Source: OQMD via LeMat-Bulk
Functional: PBE-GGA
Structure: relaxed

Cell: 10.973 10.973 10.973 Å, 95.04 95.04 145.51°
Fractional coordinates of all 56 atoms:
1 F 0.602 0.971 0.043
2 F 0.822 0.691 0.543
3 F 0.451 0.210 0.156
4 F 0.303 0.281 0.870
5 F 0.903 0.362 0.670
6 F 0.031 0.661 0.478
7 F 0.058 0.017 0.170
8 F 0.928 0.559 0.957
9 F 0.183 0.553 0.522
10 F 0.434 0.564 0.725
11 F 0.436 0.162 0.870
12 F 0.638 0.308 0.541
13 F 0.299 0.040 0.344
14 F 0.838 0.709 0.275
15 F 0.045 0.701 0.741
16 F 0.721 0.178 0.869
17 F 0.459 0.684 0.370
18 F 0.692 0.233 0.330
19 F 0.054 0.295 0.844
20 F 0.696 0.955 0.656
21 F 0.983 0.153 0.041
22 F 0.441 0.398 0.369
23 F 0.339 0.817 0.370
24 F 0.567 0.697 0.978
25 F 0.291 0.566 0.130
26 F 0.309 0.852 0.131
27 F 0.447 0.969 0.630
28 F 0.316 0.686 0.775
29 F 0.705 0.549 0.759
30 F 0.960 0.304 0.259
31 F 0.719 0.589 0.022
32 F 0.790 0.946 0.241
33 F 0.411 0.433 0.130
34 F 0.112 0.942 0.959
35 F 0.148 0.279 0.457
36 F 0.912 0.541 0.225
37 F 0.314 0.088 0.630
38 F 0.767 0.097 0.459
39 F 0.029 0.072 0.631
40 F 0.847 0.888 0.830
41 Th 0.187 0.320 0.256
42 Th 0.687 0.320 0.756
43 Th 0.563 0.930 0.244
44 Th 0.070 0.313 0.633
45 Th 0.680 0.437 0.367
46 Th 0.070 0.813 0.133
47 Th 0.063 0.930 0.744
48 Th 0.680 0.937 0.867
49 Li 0.270 0.410 0.982
50 Li 0.590 0.572 0.860
51 Li 0.322 0.962 0.482
52 Li 0.160 0.678 0.640
53 Li 0.712 0.730 0.140
54 Li 0.428 0.288 0.018
55 Li 0.480 0.840 0.518
56 Li 0.038 0.520 0.360

Values from the calculation:
- symmetry = I4_1/a (88)
- DFT total energy (eV per atom) = -6.47
- V (Å³ per cell) = 714.5
- crystal system = tetragonal
- theoretical density (g/cm³) = 6.21
- magnetic moment (μB/f.u.) = 0.00



# 19
Compound: Y4CuNiC2
Source: OQMD via LeMat-Bulk
Functional: PBE-GGA
Structure: relaxed

Cell: 3.655 3.655 13.537 Å, 90.00 90.00 120.00°
Fractional coordinates of all 8 atoms:
1 C 0.333 0.667 0.249
2 C 0.333 0.667 0.751
3 Y 0.000 0.000 0.656
4 Y 0.667 0.333 0.144
5 Y 0.667 0.333 0.856
6 Y 0.000 0.000 0.344
7 Ni 0.000 0.000 0.000
8 Cu 0.667 0.333 0.500

Values from the calculation:
- symmetry = P-6m2 (187)
- DFT total energy (eV per atom) = -6.88
- V (Å³ per cell) = 156.6
- crystal system = hexagonal
- theoretical density (g/cm³) = 5.32
- magnetic moment (μB/f.u.) = 0.01



# 20
Compound: LaNiSb2Pt
Source: OQMD via LeMat-Bulk
Functional: PBE-GGA
Structure: relaxed

Cell: 4.648 4.648 10.059 Å, 90.00 90.00 90.00°
Fractional coordinates of all 10 atoms:
1 Pt 0.000 0.000 0.500
2 Pt 0.500 0.500 0.500
3 Ni 0.000 0.500 0.888
4 Ni 0.500 0.000 0.112
5 Sb 0.000 0.000 0.000
6 Sb 0.500 0.500 0.000
7 Sb 0.000 0.500 0.639
8 Sb 0.500 0.000 0.361
9 La 0.500 0.000 0.747
10 La 0.000 0.500 0.253

Values from the calculation:
- symmetry = P4/nmm (129)
- DFT total energy (eV per atom) = -5.77
- V (Å³ per cell) = 217.3
- crystal system = tetragonal
- theoretical density (g/cm³) = 9.72
- magnetic moment (μB/f.u.) = 0.00